Na2CeHfS4 after structural relaxation, computed with PBE.

a = 6.7476 Å, b = 3.8533 Å, c = 7.1104 Å
α = 90.00°, β = 108.03°, γ = 90.00°
Space group P2/m (No. 10)
Asymmetric unit:
Na  0.0000  0.0000  0.0000 x1
Na  0.5000  0.5000  0.0000 x1
Ce  0.0000  0.5000  0.5000 x1
Hf  0.5000  0.0000  0.5000 x1
S  0.2674  0.0000  0.7326 x2
S  0.2796  0.5000  0.2791 x2

Electronic total energy ... -47.55 eV/cell
ΔE_f (raw) ... -36.07 kcal/mol of atoms